(1)
Density functional theory data (GGA-PBE) for a geometry-optimized DyScCu structure.

Unit cell a=3.7637 b=4.5834 c=4.5834 alpha=120.00 beta=90.00 gamma=90.00
Last column: nearest neighbours and their distance in Å.
Fractional coordinates of all 3 atoms:
1 Dy 0.6413 0.6667 0.3333  3 Cu 3.07, 6 Sc 3.23-3.27
2 Sc 0.1325 0.0000 0.0000  3 Cu 2.67
3 Cu 0.2263 0.3333 0.6667  3 Sc 2.67

Computed properties:
Its energy is -14.98 eV per cell. Its formation energy is 1.7 kJ per mole of atoms.



(2)
Density functional theory data (GGA-PBE) for a geometry-optimized Ga8Ag6Pb structure.

Unit cell a=6.9788 b=6.9788 c=6.9788 alpha=70.01 beta=70.01 gamma=70.01
Last column: nearest neighbours and their distance in Å.
Fractional coordinates of all 15 atoms:
1 Ga 0.7817 0.7817 0.7817  6 Ga 2.73-2.96, 3 Ag 2.80
2 Ga 0.1471 0.8003 0.4712  3 Ag 2.73-2.80, 5 Ga 2.73-2.96
3 Ga 0.1997 0.5288 0.8529  3 Ag 2.73-2.80, 5 Ga 2.73-2.96
4 Ga 0.4712 0.1471 0.8003  3 Ag 2.73-2.80, 5 Ga 2.73-2.96
5 Ga 0.2183 0.2183 0.2183  6 Ga 2.73-2.96, 3 Ag 2.80
6 Ga 0.5288 0.8529 0.1997  3 Ag 2.73-2.80, 5 Ga 2.73-2.96
7 Ga 0.8529 0.1997 0.5288  3 Ag 2.73-2.80, 5 Ga 2.73-2.96
8 Ga 0.8003 0.4712 0.1471  3 Ag 2.73-2.80, 5 Ga 2.73-2.96
9 Ag 0.5882 0.1629 0.3279  4 Ga 2.73-2.80, 3 Ag 2.93-2.97
10 Ag 0.3279 0.5882 0.1629  4 Ga 2.73-2.80, 3 Ag 2.93-2.97
11 Ag 0.4118 0.8371 0.6721  4 Ga 2.73-2.80, 3 Ag 2.93-2.97
12 Ag 0.6721 0.4118 0.8371  4 Ga 2.73-2.80, 3 Ag 2.93-2.97
13 Ag 0.1629 0.3279 0.5882  4 Ga 2.73-2.80, 3 Ag 2.93-2.97
14 Ag 0.8371 0.6721 0.4118  4 Ga 2.73-2.80, 3 Ag 2.93-2.97
15 Pb 0.0000 0.0000 0.0000  6 Ag 3.14, 8 Ga 3.42-3.46

Computed properties:
Its energy is -44.60 eV per cell. Its formation energy is 2.8 kJ per mole of atoms.



What did the second record say?
Density functional theory data (GGA-PBE) for a geometry-optimized Ga8Ag6Pb structure.

Unit cell a=6.9788 b=6.9788 c=6.9788 alpha=70.01 beta=70.01 gamma=70.01
Last column: nearest neighbours and their distance in Å.
Fractional coordinates of all 15 atoms:
1 Ga 0.7817 0.7817 0.7817  6 Ga 2.73-2.96, 3 Ag 2.80
2 Ga 0.1471 0.8003 0.4712  3 Ag 2.73-2.80, 5 Ga 2.73-2.96
3 Ga 0.1997 0.5288 0.8529  3 Ag 2.73-2.80, 5 Ga 2.73-2.96
4 Ga 0.4712 0.1471 0.8003  3 Ag 2.73-2.80, 5 Ga 2.73-2.96
5 Ga 0.2183 0.2183 0.2183  6 Ga 2.73-2.96, 3 Ag 2.80
6 Ga 0.5288 0.8529 0.1997  3 Ag 2.73-2.80, 5 Ga 2.73-2.96
7 Ga 0.8529 0.1997 0.5288  3 Ag 2.73-2.80, 5 Ga 2.73-2.96
8 Ga 0.8003 0.4712 0.1471  3 Ag 2.73-2.80, 5 Ga 2.73-2.96
9 Ag 0.5882 0.1629 0.3279  4 Ga 2.73-2.80, 3 Ag 2.93-2.97
10 Ag 0.3279 0.5882 0.1629  4 Ga 2.73-2.80, 3 Ag 2.93-2.97
11 Ag 0.4118 0.8371 0.6721  4 Ga 2.73-2.80, 3 Ag 2.93-2.97
12 Ag 0.6721 0.4118 0.8371  4 Ga 2.73-2.80, 3 Ag 2.93-2.97
13 Ag 0.1629 0.3279 0.5882  4 Ga 2.73-2.80, 3 Ag 2.93-2.97
14 Ag 0.8371 0.6721 0.4118  4 Ga 2.73-2.80, 3 Ag 2.93-2.97
15 Pb 0.0000 0.0000 0.0000  6 Ag 3.14, 8 Ga 3.42-3.46

Computed properties:
Its energy is -44.60 eV per cell. Its formation energy is 2.8 kJ per mole of atoms.



Q: Look up the energy of the second one.
A: -44.60 eV per cell